1.
AcLaZn4: optimized geometry, PBE.

Unit cell a=4.3913 b=4.3913 c=8.3657 alpha=105.22 beta=105.22 gamma=90.00
Fractional positions:
Zn (0.6691, 0.1691, 0.3381)
Zn (0.8309, 0.3309, 0.6619)
Zn (0.4141, 0.4141, 0.8282)
Ac (0.0000, 0.0000, 0.0000)
La (0.2500, 0.7500, 0.5000)
Zn (0.5859, 0.5859, 0.1718)

Results
The polymorph energy (0 for the lowest one) comes out at 0.0 meV per atom. The density is 6.957 g cm⁻³. The value obtained for the calculated formation energy is -1.756 eV per formula unit.


2.
Zr3Cu2Ni7: optimized geometry, PBE.

Unit cell a=4.8874 b=4.8874 c=8.4173 alpha=73.12 beta=73.12 gamma=60.00
Fractional positions:
Ni (0.0815, 0.5864, 0.7456)
Zr (0.0000, 0.0000, 0.0000)
Cu (0.6663, 0.6663, 0.0012)
Ni (0.5864, 0.0815, 0.7456)
Ni (0.4136, 0.4136, 0.2544)
Ni (0.5864, 0.5864, 0.7456)
Ni (0.4136, 0.9185, 0.2544)
Zr (0.1373, 0.1373, 0.5880)
Cu (0.3337, 0.3337, 0.9988)
Ni (0.5000, 0.5000, 0.5000)
Ni (0.9185, 0.4136, 0.2544)
Zr (0.8627, 0.8627, 0.4120)

Results
The density is 8.215 g cm⁻³. The value obtained for the calculated formation energy is -4.223 eV per formula unit.